Material: Ba2Bi
Method: DFT, GGA-PBE
State: optimized geometry

Cell: 5.368 5.368 19.325 Å, 90.00 90.00 90.00°
Positions (direct):
Ba1 0.000 0.000 0.179
Ba2 0.000 0.000 0.821
Ba3 0.000 0.500 0.000
Ba4 0.000 0.500 0.500
Ba5 0.500 0.000 0.000
Ba6 0.500 0.000 0.500
Ba7 0.500 0.500 0.321
Ba8 0.500 0.500 0.679
Bi1 0.000 0.000 0.366
Bi2 0.000 0.000 0.634
Bi3 0.500 0.500 0.134
Bi4 0.500 0.500 0.866

Summary:
Space-group type ... I4/mmm (139)
Calculated formation energy ... -74.6 kJ per mole of atoms